The following is a DFT calculation (PBE) of a geometry-optimized Er2ZrScSe4 structure.

Lattice parameters (Å, degrees): 3.966 6.817 6.890 70.31 90.00 90.00
Sites, in units of the cell vectors:
Se (0.500, 0.258, 0.751)
Se (0.000, 0.740, 0.756)
Se (0.000, 0.260, 0.244)
Er (0.000, 0.000, 0.000)
Se (0.500, 0.742, 0.249)
Zr (0.000, 0.500, 0.500)
Er (0.500, 0.000, 0.500)
Sc (0.500, 0.500, 0.000)

Calculated values
magnetic moment	0.0	μB per formula unit
formation energy from raw total energies	-11.98	eV/f.u.
DOS at the Fermi energy	0.5285	states/eV/atom
mass density	7.45	g/cm³
space-group type	No. 10



The following is a DFT calculation (PBE) of a geometry-optimized ErZrSc2Se4 structure.

Lattice parameters (Å, degrees): 3.906 6.823 6.764 70.53 90.00 90.00
Sites, in units of the cell vectors:
Sc (0.000, 0.000, 0.000)
Se (0.000, 0.239, 0.257)
Se (0.500, 0.241, 0.750)
Er (0.500, 0.500, 0.000)
Zr (0.000, 0.500, 0.500)
Se (0.000, 0.761, 0.743)
Se (0.500, 0.759, 0.250)
Sc (0.500, 0.000, 0.500)

Calculated values
magnetic moment	0.0	μB per formula unit
formation energy from raw total energies	-11.76	eV/f.u.
DOS at the Fermi energy	0.5666	states/eV/atom
mass density	6.49	g/cm³
space-group type	No. 10



The following is a DFT calculation (PBE) of a geometry-optimized Er2ScSi2 structure.

Lattice parameters (Å, degrees): 4.190 5.688 5.688 63.09 68.39 68.39
Sites, in units of the cell vectors:
Er (0.702, 0.798, 0.298)
Si (0.000, 0.792, 0.708)
Si (0.000, 0.208, 0.292)
Er (0.298, 0.202, 0.702)
Sc (0.500, 0.500, 0.000)

Calculated values
magnetic moment	0.0	μB per formula unit
formation energy from raw total energies	-3.51	eV/f.u.
DOS at the Fermi energy	0.8437	states/eV/atom
mass density	6.64	g/cm³
space-group type	No. 71
energy above the most stable polymorph in this dataset	0.000	eV/atom



The following is a DFT calculation (PBE) of a geometry-optimized ErSc4Si4 structure.

Lattice parameters (Å, degrees): 5.365 8.708 8.708 90.00 90.00 90.00
Sites, in units of the cell vectors:
Sc (0.621, 0.110, 0.352)
Si (0.888, 0.295, 0.848)
Si (0.888, 0.705, 0.152)
Si (0.388, 0.348, 0.205)
Er (0.000, 0.000, 0.000)
Si (0.112, 0.848, 0.705)
Sc (0.621, 0.890, 0.648)
Sc (0.879, 0.390, 0.148)
Si (0.112, 0.152, 0.295)
Sc (0.879, 0.610, 0.852)
Si (0.388, 0.652, 0.795)
Sc (0.121, 0.852, 0.390)
Er (0.500, 0.500, 0.500)
Si (0.612, 0.795, 0.348)
Si (0.612, 0.205, 0.652)
Sc (0.379, 0.352, 0.890)
Sc (0.379, 0.648, 0.110)
Sc (0.121, 0.148, 0.610)

Calculated values
magnetic moment	0.0	μB per formula unit
formation energy from raw total energies	-4.56	eV/f.u.
DOS at the Fermi energy	0.7657	states/eV/atom
mass density	3.75	g/cm³
space-group type	No. 86



The following is a DFT calculation (PBE) of a geometry-optimized ErScSi4 structure.

Lattice parameters (Å, degrees): 3.835 8.180 14.297 90.00 90.00 90.00
Sites, in units of the cell vectors:
Si (0.500, 0.033, 0.293)
Si (0.500, 0.815, 0.193)
Er (0.000, 0.608, 0.366)
Sc (0.000, 0.357, 0.914)
Si (0.500, 0.130, 0.968)
Si (0.500, 0.370, 0.468)
Si (0.500, 0.315, 0.307)
Sc (0.000, 0.857, 0.586)
Si (0.500, 0.630, 0.532)
Si (0.500, 0.119, 0.561)
Si (0.500, 0.685, 0.693)
Si (0.500, 0.467, 0.793)
Si (0.500, 0.967, 0.707)
Si (0.500, 0.619, 0.939)
Si (0.500, 0.533, 0.207)
Si (0.500, 0.185, 0.807)
Er (0.000, 0.108, 0.134)
Sc (0.000, 0.643, 0.086)
Sc (0.000, 0.143, 0.414)
Si (0.500, 0.881, 0.439)
Er (0.000, 0.392, 0.634)
Si (0.500, 0.381, 0.061)
Si (0.500, 0.870, 0.032)
Er (0.000, 0.892, 0.866)

Calculated values
magnetic moment	0.0	μB per formula unit
formation energy from raw total energies	-2.36	eV/f.u.
DOS at the Fermi energy	0.3499	states/eV/atom
mass density	4.81	g/cm³
space-group type	No. 55



The following is a DFT calculation (PBE) of a geometry-optimized ErScSi2 structure.

Lattice parameters (Å, degrees): 4.401 4.401 5.529 66.54 66.54 60.00
Sites, in units of the cell vectors:
Si (0.260, 0.260, 0.219)
Er (0.500, 0.500, 0.500)
Si (0.740, 0.740, 0.781)
Sc (0.000, 0.000, 0.000)

Calculated values
magnetic moment	0.0	μB per formula unit
formation energy from raw total energies	-2.13	eV/f.u.
DOS at the Fermi energy	0.5151	states/eV/atom
mass density	5.41	g/cm³
space-group type	No. 166
energy above the most stable polymorph in this dataset	0.279	eV/atom



The following is a DFT calculation (PBE) of a geometry-optimized Er2ScSi2 structure.

Lattice parameters (Å, degrees): 4.185 6.218 9.346 78.84 77.06 70.34
Sites, in units of the cell vectors:
Er (0.682, 0.730, 0.905)
Er (0.516, 0.656, 0.313)
Si (0.988, 0.135, 0.889)
Si (0.883, 0.674, 0.560)
Si (0.012, 0.865, 0.111)
Er (0.484, 0.344, 0.687)
Si (0.117, 0.326, 0.440)
Sc (0.225, 0.920, 0.630)
Er (0.318, 0.270, 0.095)
Sc (0.775, 0.080, 0.370)

Calculated values
magnetic moment	0.0	μB per formula unit
formation energy from raw total energies	-3.46	eV/f.u.
DOS at the Fermi energy	0.6209	states/eV/atom
mass density	6.54	g/cm³
space-group type	No. 12
energy above the most stable polymorph in this dataset	0.010	eV/atom



The following is a DFT calculation (PBE) of a geometry-optimized ErScZnSi structure.

Lattice parameters (Å, degrees): 4.803 4.803 4.803 60.00 60.00 60.00
Sites, in units of the cell vectors:
Er (0.750, 0.750, 0.750)
Sc (0.250, 0.250, 0.250)
Si (0.000, 0.000, 0.000)
Zn (0.500, 0.500, 0.500)

Calculated values
magnetic moment	0.0	μB per formula unit
formation energy from raw total energies	-1.85	eV/f.u.
DOS at the Fermi energy	0.4219	states/eV/atom
mass density	6.48	g/cm³
space-group type	No. 216